[1]
Material: Na2MgAs2Pt
Method: DFT, PBE
State: optimized geometry

Computed properties:
D(E_F): 0.47 states/eV/atom
calculated formation energy: -464 meV/atom
electronic total energy: -44.714 eV for the cell shown

a = 8.449 Å, b = 8.449 Å, c = 8.449 Å
α = 140.42°, β = 60.28°, γ = 136.47°
Sites, in units of the cell vectors:
Na 0.179 0.245 0.424
Na 0.321 0.745 0.067
Na 0.679 0.255 0.933
Na 0.821 0.755 0.576
Mg 0.250 0.250 0.000
Mg 0.750 0.750 0.000
As 0.110 0.724 0.834
As 0.390 0.224 0.614
As 0.610 0.776 0.386
As 0.890 0.276 0.166
Pt 0.250 0.750 0.500
Pt 0.750 0.250 0.500



[2]
Material: TiMnZnS4
Method: DFT, PBE
State: optimized geometry

Computed properties:
formation energy from raw total energies: -0.91 eV per atom
D(E_F): 0.37 states/eV/atom
electronic total energy: -82.386 eV for the cell shown

a = 7.233 Å, b = 7.233 Å, c = 7.233 Å
α = 121.19°, β = 120.05°, γ = 88.93°
Sites, in units of the cell vectors:
Ti 0.500 0.000 0.000
Ti 0.500 0.500 0.500
Mn 0.000 0.000 0.000
Mn 0.500 0.000 0.500
Zn 0.131 0.381 0.750
Zn 0.869 0.619 0.250
S 0.262 0.244 0.482
S 0.262 0.247 0.015
S 0.262 0.779 0.018
S 0.268 0.753 0.515
S 0.732 0.247 0.485
S 0.738 0.221 0.982
S 0.738 0.753 0.985
S 0.738 0.756 0.518



[3]
Material: Pr4Zr
Method: DFT, PBE
State: optimized geometry

Computed properties:
D(E_F): 1.31 states/eV/atom
calculated formation energy: 497 meV/atom
electronic total energy: -25.180 eV for the cell shown

a = 5.764 Å, b = 5.764 Å, c = 5.764 Å
α = 90.00°, β = 90.00°, γ = 90.00°
Sites, in units of the cell vectors:
Pr 0.000 0.000 0.000
Pr 0.000 0.500 0.500
Pr 0.500 0.000 0.500
Pr 0.500 0.500 0.000
Zr 0.500 0.500 0.500



[4]
Material: Cs2GeI6
Method: DFT, PBE
State: optimized geometry

Computed properties:
formation energy from raw total energies: -0.63 eV per atom
D(E_F): 0.30 states/eV/atom
electronic total energy: -21.334 eV for the cell shown

a = 9.266 Å, b = 9.266 Å, c = 5.784 Å
α = 94.20°, β = 94.20°, γ = 62.26°
Sites, in units of the cell vectors:
Cs 0.164 0.164 0.108
Cs 0.836 0.836 0.892
Ge 0.500 0.500 0.500
I 0.133 0.567 0.385
I 0.305 0.695 0.000
I 0.433 0.867 0.615
I 0.567 0.133 0.385
I 0.695 0.305 0.000
I 0.867 0.433 0.615



[5]
Material: DyThSN
Method: DFT, PBE
State: optimized geometry

Computed properties:
formation energy from raw total energies: -1.69 eV per atom
D(E_F): 0.26 states/eV/atom
electronic total energy: -31.247 eV for the cell shown

a = 3.677 Å, b = 3.677 Å, c = 6.569 Å
α = 90.00°, β = 90.00°, γ = 120.00°
Sites, in units of the cell vectors:
Dy 0.000 0.000 0.000
Th 0.667 0.333 0.420
S 0.333 0.667 0.726
N 0.333 0.667 0.213



[6]
Material: La3Nd2Dy
Method: DFT, PBE
State: optimized geometry

Computed properties:
distance to the lowest polymorph of the same formula: 0.000 eV per formula unit
D(E_F): 1.26 states/eV/atom
calculated formation energy: 22 meV/atom
electronic total energy: -57.578 eV for the cell shown

a = 6.417 Å, b = 6.417 Å, c = 12.001 Å
α = 90.00°, β = 90.00°, γ = 120.00°
Sites, in units of the cell vectors:
La 0.000 0.331 0.250
La 0.000 0.669 0.750
La 0.331 0.000 0.250
La 0.331 0.331 0.750
La 0.669 0.000 0.750
La 0.669 0.669 0.250
Nd 0.333 0.667 0.000
Nd 0.333 0.667 0.500
Nd 0.667 0.333 0.000
Nd 0.667 0.333 0.500
Dy 0.000 0.000 0.000
Dy 0.000 0.000 0.500